[1]
Density functional theory data (PBE) for a geometry-optimized Ce4NdDy3S8 structure.

The calculation puts the total energy at -107.78 eV per formula unit. As for the formation energy from raw total energies: -2.028 eV/atom. The magnetic moment is 8.5 Bohr magnetons per cell.

Cell lengths 7.9541, 7.9541, 19.6290 Å; angles 90.00, 90.00, 120.00 degrees
Space group R-3m (No. 166, hexagonal axes)
Unique sites:
Ce: 0.0000 0.0000 0.0000 [3 per cell]
Ce: 0.0000 0.5000 0.0000 [9 per cell]
Nd: 0.0000 0.0000 0.5000 [3 per cell]
Dy: 0.0000 0.5000 0.5000 [9 per cell]
S: 0.0000 0.0000 0.2460 [6 per cell]
S: 0.0070 0.5035 0.7523 [18 per cell]

[2]
Density functional theory data (PBE) for a geometry-optimized Nd8SmCo2 structure.

The calculation puts the total energy at -55.97 eV per formula unit. For the formation energy from the elements, the calculation gives 100 meV/atom. The magnetic moment is 0.0 Bohr magnetons per cell.

Cell lengths 12.518, 8.330, 7.323 Å; angles 90.00, 110.42, 90.00 degrees
Space group C2/m (No. 12)
Unique sites:
Nd: 0.112 0.197 0.318 [8 per cell]
Nd: 0.128 0.500 0.688 [4 per cell]
Nd: 0.174 0.000 0.824 [4 per cell]
Sm: 0.000 0.500 0.000 [2 per cell]
Co: 0.194 0.500 0.394 [4 per cell]

[3]
Density functional theory data (PBE) for a geometry-optimized SnRu3Pb structure.

The calculation puts the total energy at -27.91 eV per formula unit. For the formation energy from the elements, the calculation gives 1525 meV/atom. The value obtained for the polymorph energy (0 for the lowest one) is 0.000 eV per atom. The magnetic moment is 3.9 Bohr magnetons per cell.

Cell lengths 4.896, 4.896, 4.896 Å; angles 90.00, 90.00, 90.00 degrees
Space group Pm-3m (No. 221)
Unique sites:
Sn: 0.000 0.000 0.000 [1 per cell]
Ru: 0.000 0.000 0.500 [3 per cell]
Pb: 0.500 0.500 0.500 [1 per cell]

[4]
Density functional theory data (PBE) for a geometry-optimized Tb2U3Ru5 structure.

The calculation puts the total energy at -91.55 eV per formula unit. For the formation energy from the elements, the calculation gives -204 meV/atom. The magnetic moment is 11.8 Bohr magnetons per cell.

Cell lengths 11.151, 12.768, 5.877 Å; angles 90.00, 90.00, 90.00 degrees
Space group Ibam (No. 72)
Unique sites:
Tb: 0.233 0.105 0.000 [8 per cell]
U: 0.000 0.500 0.250 [4 per cell]
U: 0.104 0.155 0.500 [8 per cell]
Ru: 0.000 0.000 0.250 [4 per cell]
Ru: 0.000 0.297 0.250 [8 per cell]
Ru: 0.197 0.369 0.000 [8 per cell]

[5]
Density functional theory data (PBE) for a geometry-optimized BaSiC structure.

The calculation puts the total energy at -16.02 eV per formula unit. As for the formation energy from raw total energies: 0.183 eV/atom. The value obtained for the polymorph energy (0 for the lowest one) is 0.009 eV per atom. The magnetic moment is 0.0 Bohr magnetons per cell.

Cell lengths 8.107, 6.366, 11.445 Å; angles 90.00, 90.00, 90.00 degrees
Space group Pnma (No. 62)
Unique sites:
Ba: 0.083 0.250 0.178 [4 per cell]
Ba: 0.130 0.750 0.374 [4 per cell]
Si: 0.055 0.750 0.096 [4 per cell]
Si: 0.215 0.250 0.476 [4 per cell]
C: 0.226 0.133 0.640 [8 per cell]

[6]
Density functional theory data (PBE) for a geometry-optimized Tm3Ag4SnS8 structure.

The calculation puts the total energy at -78.13 eV per formula unit. As for the formation energy from raw total energies: -1.018 eV/atom. The magnetic moment is 0.0 Bohr magnetons per cell.

Cell lengths 13.241, 7.921, 7.703 Å; angles 90.00, 123.36, 90.00 degrees
Space group C2/m (No. 12)
Unique sites:
Tm: 0.000 0.000 0.000 [2 per cell]
Tm: 0.250 0.250 0.500 [4 per cell]
Ag: 0.000 0.000 0.500 [2 per cell]
Ag: 0.000 0.500 0.500 [2 per cell]
Ag: 0.250 0.250 0.000 [4 per cell]
Sn: 0.000 0.500 0.000 [2 per cell]
S: 0.004 0.249 0.248 [8 per cell]
S: 0.245 0.000 0.254 [4 per cell]
S: 0.247 0.500 0.255 [4 per cell]

[7]
Density functional theory data (PBE) for a geometry-optimized Nd4Tl5Hg structure.

The calculation puts the total energy at -32.14 eV per formula unit. For the formation energy from the elements, the calculation gives -94 meV/atom. The value obtained for the polymorph energy (0 for the lowest one) is 0.258 eV per atom. The magnetic moment is 0.0 Bohr magnetons per cell.

Cell lengths 8.396, 10.525, 7.268 Å; angles 90.00, 90.00, 90.00 degrees
Space group Pmmn (No. 59, origin choice 2)
Unique sites:
Nd: 0.014 0.250 0.211 [4 per cell]
Nd: 0.250 0.553 0.448 [4 per cell]
Tl: 0.066 0.062 0.819 [8 per cell]
Tl: 0.250 0.750 0.091 [2 per cell]
Hg: 0.250 0.250 0.546 [2 per cell]

[8]
Density functional theory data (PBE) for a geometry-optimized YTl2Ru structure.

The calculation puts the total energy at -20.19 eV per formula unit. For the formation energy from the elements, the calculation gives 71 meV/atom. The value obtained for the polymorph energy (0 for the lowest one) is 0.062 eV per atom. The magnetic moment is 0.0 Bohr magnetons per cell.

Cell lengths 3.320, 4.620, 12.752 Å; angles 90.00, 90.00, 90.00 degrees
Space group Imm2 (No. 44)
Unique sites:
Y: 0.000 0.000 0.000 [2 per cell]
Tl: 0.000 0.000 0.630 [2 per cell]
Tl: 0.000 0.500 0.813 [2 per cell]
Ru: 0.000 0.500 0.325 [2 per cell]